A relaxed structure of Tb7Pm12Y, computed with PBE.

Geometry as extended XYZ:
```
20
Lattice="8.718 0.815 1.223 -1.641 8.601 1.223 -1.641 -2.184 8.408" Properties=species:S:1:pos:R:3 pbc="T T T"
Pm -0.182 2.630 4.720
Tb 0.135 3.041 0.717
Pm 2.174 6.477 6.611
Y 0.000 0.000 0.000
Pm 4.220 7.057 3.940
Pm 3.261 0.755 4.244
Pm 2.576 4.141 2.332
Tb 2.552 6.946 9.678
Pm 2.859 3.091 8.524
Tb 5.963 7.244 7.772
Pm -0.170 5.914 3.786
Pm 1.215 0.175 6.916
Tb 5.300 4.191 10.138
Tb -0.527 -0.012 3.083
Tb 2.884 0.286 1.177
Pm 5.617 4.603 6.136
Pm -0.292 4.309 8.030
Tb 2.718 3.616 5.428
Pm 5.728 2.923 2.825
Pm 5.605 1.318 7.069
```

Excess energy over the best structure of this formula in the dataset ... 0.027 eV per atom
Crystal system ... trigonal

A relaxed structure of Tb8PmY2, computed with PBE.

Geometry as extended XYZ:
```
11
Lattice="5.654 1.819 0.000 2.842 8.642 0.000 1.421 4.321 8.288" Properties=species:S:1:pos:R:3 pbc="T T T"
Tb 3.311 7.084 2.031
Tb 6.605 7.699 6.256
Tb 4.248 5.231 4.910
Y 1.421 4.321 3.146
Pm 2.827 0.910 0.000
Tb 5.605 6.134 0.000
Tb 4.732 11.405 6.256
Tb 5.668 9.552 3.378
Tb 2.890 4.328 0.000
Y 2.842 8.642 5.142
Tb 5.185 3.378 2.031
```

Excess energy over the best structure of this formula in the dataset ... 0.036 eV per atom
Crystal system ... monoclinic

A relaxed structure of Tb6Pm3Y, computed with PBE.

Geometry as extended XYZ:
```
10
Lattice="6.144 0.000 -2.494 -0.999 9.330 -2.462 -0.920 -0.873 6.550" Properties=species:S:1:pos:R:3 pbc="T T T"
Tb 1.480 0.091 3.647
Tb 5.073 2.573 -0.650
Tb -0.847 5.884 2.245
Tb 2.053 2.573 0.575
Tb 2.172 5.884 1.019
Pm 4.626 2.061 2.582
Y 2.572 4.665 -2.478
Tb 2.745 8.365 -2.052
Pm -0.401 6.395 -0.987
Pm 0.000 0.000 0.000
```

Excess energy over the best structure of this formula in the dataset ... 0.073 eV per atom
Crystal system ... monoclinic

A relaxed structure of Tb3PmY2, computed with PBE.

Geometry as extended XYZ:
```
12
Lattice="-0.291 2.108 6.296 0.660 -7.241 2.454 7.648 0.620 0.146" Properties=species:S:1:pos:R:3 pbc="T T T"
Y 5.042 -5.676 3.887
Y 2.974 1.163 5.010
Pm 7.234 -4.358 7.055
Pm 0.783 -0.155 1.842
Y 7.255 -3.186 3.156
Tb 5.752 -0.295 3.872
Tb 5.897 -1.349 0.724
Tb 2.411 -5.272 1.876
Tb 2.265 -4.218 5.024
Tb 4.733 -2.365 6.272
Y 0.762 -1.327 5.741
Tb 3.283 -2.148 2.625
```

Excess energy over the best structure of this formula in the dataset ... 0.225 eV per atom
Crystal system ... orthorhombic

A relaxed structure of Tb3Pm3Y2, computed with PBE.

Geometry as extended XYZ:
```
16
Lattice="6.230 1.161 0.000 -1.052 5.648 0.000 0.000 0.000 14.673" Properties=species:S:1:pos:R:3 pbc="T T T"
Y 0.758 1.603 5.519
Y 4.420 5.206 9.155
Pm 1.322 4.628 11.005
Pm 0.801 1.609 12.840
Tb 1.291 4.624 0.009
Tb 3.887 2.185 7.346
Y 4.420 5.206 12.855
Y 0.758 1.603 1.818
Pm 0.801 1.609 9.170
Tb 1.256 4.619 3.668
Tb 3.887 2.185 14.664
Pm 4.377 5.200 1.834
Tb 3.922 2.190 11.005
Pm 3.856 2.181 3.668
Pm 4.377 5.200 5.503
Tb 1.291 4.624 7.327
```

Crystal system ... orthorhombic

A relaxed structure of Tb4Pm4Y, computed with PBE.

Geometry as extended XYZ:
```
9
Lattice="5.092 0.000 0.000 2.546 7.649 0.000 2.546 0.000 7.649" Properties=species:S:1:pos:R:3 pbc="T T T"
Tb 7.638 7.648 5.101
Pm 5.092 2.540 2.539
Pm 5.092 5.109 5.110
Tb 5.092 5.101 0.001
Y 0.000 0.000 0.000
Pm 2.546 2.539 5.109
Tb 2.546 0.001 2.548
Tb 5.092 2.548 7.648
Pm 7.638 5.110 2.540
```

Excess energy over the best structure of this formula in the dataset ... 0.000 eV per atom
Crystal system ... tetragonal

A relaxed structure of Tb7Pm2Y2, computed with PBE.

Geometry as extended XYZ:
```
11
Lattice="-3.480 -0.606 4.944 -0.150 -7.849 3.623 3.627 2.248 7.519" Properties=species:S:1:pos:R:3 pbc="T T T"
Pm -0.381 -4.827 12.876
Y -1.071 -5.961 6.940
Tb 0.152 -2.541 6.438
Tb -1.519 -6.966 10.560
Tb 0.488 -1.599 12.632
Tb 0.000 0.000 0.000
Tb -0.155 -3.666 9.648
Tb 1.516 0.759 5.526
Pm 0.378 -1.380 3.210
Y 1.068 -0.246 9.146
Tb -0.492 -4.608 3.454
```

Excess energy over the best structure of this formula in the dataset ... 0.074 eV per atom
Crystal system ... monoclinic

A relaxed structure of TbPm6Y2, computed with PBE.

Geometry as extended XYZ:
```
9
Lattice="6.227 -0.021 -0.012 0.044 7.566 0.018 0.044 3.785 6.551" Properties=species:S:1:pos:R:3 pbc="T T T"
Tb 0.000 0.000 0.000
Y 4.976 7.546 4.367
Pm 1.878 7.561 2.472
Pm 4.423 2.124 1.229
Y 1.338 3.783 2.189
Pm 4.436 3.768 4.084
Pm 1.891 9.205 5.327
Pm 4.436 5.418 1.232
Pm 1.878 5.910 5.324
```

Excess energy over the best structure of this formula in the dataset ... 0.037 eV per atom
Crystal system ... monoclinic

Number 1: energy of formation from the pure elements 0.2716 eV/atom. Number 2: energy of formation from the pure elements 0.1514 eV/atom. Number 3: energy of formation from the pure elements 0.2220 eV/atom. Number 4: energy of formation from the pure elements 0.2213 eV/atom. Number 5: energy of formation from the pure elements 0.0194 eV/atom. Number 6: energy of formation from the pure elements 0.0170 eV/atom. Number 7: energy of formation from the pure elements 0.1508 eV/atom. Number 8: energy of formation from the pure elements 0.2262 eV/atom.